A geometry-optimized Er3TlSe6 structure. Source: the Alexandria database, functional PBE.

The volume is 538 Å³/cell. As for the formation energy without anion corrections: -1402 meV/atom.

Cell lengths 6.905, 8.938, 8.938 Å; angles 102.82, 90.00, 90.00 degrees
Sites, in units of the cell vectors:
Se (0.727, 0.547, 0.099)
Se (0.690, 0.971, 0.029)
Se (0.120, 0.777, 0.223)
Se (0.182, 0.372, 0.301)
Se (0.227, 0.099, 0.547)
Se (0.727, 0.901, 0.453)
Se (0.682, 0.628, 0.699)
Se (0.682, 0.301, 0.372)
Se (0.620, 0.223, 0.777)
Se (0.190, 0.029, 0.971)
Se (0.182, 0.699, 0.628)
Se (0.227, 0.453, 0.901)
Er (0.985, 0.717, 0.911)
Er (0.485, 0.283, 0.089)
Er (0.886, 0.591, 0.409)
Er (0.386, 0.409, 0.591)
Er (0.485, 0.911, 0.717)
Er (0.985, 0.089, 0.283)
Tl (0.502, 0.797, 0.203)
Tl (0.002, 0.203, 0.797)

---

A geometry-optimized Er6TlSe8 structure. Source: the Alexandria database, functional PBE.

The volume is 503 Å³/cell. The calculation puts the density of states at the Fermi level at 8.0 states/eV per cell. As for the formation energy without anion corrections: -1535 meV/atom.

Cell lengths 7.967, 7.967, 7.967 Å; angles 93.02, 93.02, 93.02 degrees
Sites, in units of the cell vectors:
Se (0.754, 0.754, 0.754)
Se (0.698, 0.409, 0.142)
Se (0.858, 0.302, 0.591)
Se (0.591, 0.858, 0.302)
Se (0.409, 0.142, 0.698)
Se (0.142, 0.698, 0.409)
Se (0.302, 0.591, 0.858)
Se (0.246, 0.246, 0.246)
Er (0.802, 0.617, 0.434)
Er (0.383, 0.566, 0.198)
Er (0.617, 0.434, 0.802)
Er (0.434, 0.802, 0.617)
Er (0.198, 0.383, 0.566)
Er (0.566, 0.198, 0.383)
Tl (0.000, 0.000, 0.000)

---

A geometry-optimized Er5Tl2Se2 structure. Source: the Alexandria database, functional PBE.

The volume is 466 Å³/cell. The calculation puts the density of states at the Fermi level at 12.5 states/eV per cell. As for the formation energy without anion corrections: -779 meV/atom.

Cell lengths 7.930, 7.959, 8.393 Å; angles 118.30, 90.00, 90.00 degrees
Sites, in units of the cell vectors:
Er (0.336, 0.962, 0.256)
Er (0.664, 0.294, 0.256)
Er (0.836, 0.794, 0.256)
Er (0.664, 0.038, 0.744)
Er (0.164, 0.462, 0.256)
Er (0.000, 0.000, 0.000)
Er (0.836, 0.538, 0.744)
Er (0.164, 0.206, 0.744)
Er (0.500, 0.500, 0.000)
Er (0.336, 0.706, 0.744)
Se (0.645, 0.859, 0.000)
Se (0.355, 0.141, 0.000)
Se (0.145, 0.641, 0.000)
Se (0.855, 0.359, 0.000)
Tl (0.000, 0.791, 0.583)
Tl (0.500, 0.709, 0.417)
Tl (0.500, 0.291, 0.583)
Tl (0.000, 0.209, 0.417)

---

A geometry-optimized ErTm3Tl3Se8 structure. Source: the Alexandria database, functional PBE.

The volume is 449 Å³/cell. The calculation puts the density of states at the Fermi level at 6.8 states/eV per cell. As for the formation energy without anion corrections: -1384 meV/atom.

Cell lengths 8.225, 8.225, 9.020 Å; angles 117.15, 90.00, 120.00 degrees
Sites, in units of the cell vectors:
Tl (0.500, 0.500, 0.000)
Tl (0.000, 0.000, 0.000)
Tl (0.000, 0.500, 0.000)
Se (0.733, 0.969, 0.704)
Se (0.735, 0.470, 0.705)
Se (0.236, 0.471, 0.704)
Se (0.267, 0.031, 0.296)
Se (0.764, 0.031, 0.296)
Se (0.764, 0.529, 0.296)
Se (0.265, 0.530, 0.295)
Se (0.236, 0.969, 0.704)
Er (0.000, 0.000, 0.500)
Tm (0.500, 0.500, 0.500)
Tm (0.000, 0.500, 0.500)
Tm (0.500, 0.000, 0.500)

---

A geometry-optimized ErTm3Tl4Se8 structure. Source: the Alexandria database, functional PBE.

The volume is 462 Å³/cell. As for the formation energy without anion corrections: -1376 meV/atom.

Cell lengths 8.279, 9.135, 8.280 Å; angles 116.99, 119.99, 90.00 degrees
Sites, in units of the cell vectors:
Se (0.766, 0.298, 0.531)
Se (0.267, 0.298, 0.032)
Se (0.734, 0.701, 0.468)
Se (0.766, 0.298, 0.032)
Se (0.266, 0.299, 0.532)
Se (0.733, 0.702, 0.968)
Se (0.234, 0.702, 0.968)
Se (0.234, 0.702, 0.469)
Tm (0.000, 0.500, 0.500)
Tm (0.500, 0.500, 0.500)
Tm (0.500, 0.500, 0.000)
Tl (0.000, 0.000, 0.000)
Tl (0.000, 0.000, 0.500)
Tl (0.500, 0.000, 0.000)
Tl (0.500, 0.000, 0.500)
Er (0.000, 0.500, 0.000)

---

A geometry-optimized Er3TmTl4Se8 structure. Source: the Alexandria database, functional PBE.

The volume is 464 Å³/cell. As for the formation energy without anion corrections: -1379 meV/atom.

Cell lengths 8.297, 9.139, 8.297 Å; angles 117.02, 120.00, 90.00 degrees
Sites, in units of the cell vectors:
Se (0.266, 0.298, 0.532)
Se (0.766, 0.298, 0.533)
Se (0.234, 0.702, 0.969)
Se (0.265, 0.298, 0.031)
Se (0.234, 0.702, 0.467)
Se (0.735, 0.702, 0.969)
Se (0.734, 0.702, 0.468)
Se (0.766, 0.298, 0.031)
Er (0.500, 0.500, 0.000)
Er (0.000, 0.500, 0.500)
Er (0.500, 0.500, 0.500)
Tl (0.000, 0.000, 0.000)
Tl (0.500, 0.000, 0.500)
Tl (0.000, 0.000, 0.500)
Tl (0.500, 0.000, 0.000)
Tm (0.000, 0.500, 0.000)

---

A geometry-optimized Er3TmTl3Se8 structure. Source: the Alexandria database, functional PBE.

The volume is 451 Å³/cell. The calculation puts the density of states at the Fermi level at 6.9 states/eV per cell. As for the formation energy without anion corrections: -1388 meV/atom.

Cell lengths 8.247, 8.247, 9.024 Å; angles 117.20, 90.00, 120.00 degrees
Sites, in units of the cell vectors:
Se (0.766, 0.531, 0.296)
Se (0.234, 0.469, 0.704)
Se (0.735, 0.471, 0.706)
Se (0.766, 0.030, 0.296)
Se (0.735, 0.970, 0.704)
Se (0.265, 0.529, 0.294)
Se (0.234, 0.970, 0.704)
Se (0.265, 0.030, 0.296)
Tm (0.000, 0.000, 0.500)
Er (0.000, 0.500, 0.500)
Er (0.500, 0.500, 0.500)
Er (0.500, 0.000, 0.500)
Tl (0.000, 0.500, 0.000)
Tl (0.000, 0.000, 0.000)
Tl (0.500, 0.500, 0.000)

---

A geometry-optimized Er2TmTl3Se6 structure. Source: the Alexandria database, functional PBE.

The volume is 348 Å³/cell. As for the formation energy without anion corrections: -1379 meV/atom.

Cell lengths 7.182, 7.182, 8.140 Å; angles 98.46, 98.46, 120.00 degrees
Sites, in units of the cell vectors:
Se (0.400, 0.067, 0.202)
Se (0.933, 0.600, 0.798)
Se (0.067, 0.400, 0.202)
Se (0.265, 0.265, 0.798)
Se (0.735, 0.735, 0.202)
Se (0.600, 0.933, 0.798)
Er (0.333, 0.667, 0.000)
Er (0.667, 0.333, 0.000)
Tm (0.000, 0.000, 0.000)
Tl (0.500, 0.500, 0.500)
Tl (0.833, 0.167, 0.500)
Tl (0.167, 0.833, 0.500)

---

A geometry-optimized ErU2Tl2Se6 structure. Source: the Alexandria database, functional PBE.

The volume is 350 Å³/cell. The calculation puts the density of states at the Fermi level at 12.0 states/eV per cell. As for the formation energy without anion corrections: -1148 meV/atom.

Cell lengths 7.172, 7.172, 8.213 Å; angles 98.34, 98.34, 119.98 degrees
Last column: magnetic moment on the atom in μB.
Sites, in units of the cell vectors:
Se (0.736, 0.736, 0.702)  -0.05
Se (0.400, 0.066, 0.702)  -0.05
Se (0.600, 0.934, 0.298)  -0.05
Se (0.264, 0.264, 0.298)  -0.05
Se (0.934, 0.600, 0.298)  -0.05
Se (0.066, 0.400, 0.702)  -0.05
U (0.334, 0.666, 0.500)  2.42
U (0.666, 0.334, 0.500)  2.42
Er (0.000, 0.000, 0.500)  0.03
Tl (0.834, 0.166, 0.000)  0.00
Tl (0.166, 0.834, 0.000)  0.00

---

A geometry-optimized Er3UTl4Se8 structure. Source: the Alexandria database, functional PBE.

The volume is 469 Å³/cell. The calculation puts the density of states at the Fermi level at 9.2 states/eV per cell. As for the formation energy without anion corrections: -1240 meV/atom.

Cell lengths 8.327, 9.168, 8.328 Å; angles 117.05, 119.99, 90.00 degrees
Last column: magnetic moment on the atom in μB.
Sites, in units of the cell vectors:
Tl (0.000, 0.000, 0.000)  0.01
Tl (0.500, 0.000, 0.000)  -0.01
Tl (0.500, 0.000, 0.500)  0.01
Tl (0.000, 0.000, 0.500)  0.01
Er (0.500, 0.500, 0.000)  0.05
Er (0.500, 0.500, 0.500)  0.05
Er (0.000, 0.500, 0.500)  0.05
Se (0.734, 0.701, 0.468)  0.00
Se (0.269, 0.296, 0.033)  -0.02
Se (0.236, 0.704, 0.967)  -0.02
Se (0.764, 0.296, 0.033)  -0.02
Se (0.266, 0.299, 0.532)  0.00
Se (0.236, 0.704, 0.473)  -0.02
Se (0.731, 0.704, 0.967)  -0.02
Se (0.764, 0.296, 0.527)  -0.02
U (0.000, 0.500, 0.000)  2.61

---

A geometry-optimized Er3UTl3Se8 structure. Source: the Alexandria database, functional PBE.

The volume is 464 Å³/cell. The calculation puts the density of states at the Fermi level at 6.0 states/eV per cell. As for the formation energy without anion corrections: -1331 meV/atom.

Cell lengths 8.265, 8.264, 9.178 Å; angles 116.78, 90.00, 120.01 degrees
Last column: magnetic moment on the atom in μB.
Sites, in units of the cell vectors:
Tl (0.000, 0.500, 0.000)  0.00
Tl (0.500, 0.500, 0.000)  0.00
Tl (0.000, 0.000, 0.000)  0.00
Er (0.500, 0.500, 0.500)  0.01
Er (0.000, 0.500, 0.500)  0.01
Er (0.500, 0.000, 0.500)  0.01
U (0.000, 0.000, 0.500)  2.06
Se (0.767, 0.032, 0.300)  -0.03
Se (0.233, 0.466, 0.700)  -0.03
Se (0.735, 0.968, 0.700)  -0.03
Se (0.734, 0.468, 0.702)  0.00
Se (0.233, 0.968, 0.700)  -0.03
Se (0.266, 0.532, 0.298)  0.00
Se (0.265, 0.032, 0.300)  -0.03
Se (0.767, 0.534, 0.300)  -0.03

---

A geometry-optimized ErU3Tl4Se8 structure. Source: the Alexandria database, functional PBE.

The volume is 473 Å³/cell. The calculation puts the density of states at the Fermi level at 16.1 states/eV per cell. As for the formation energy without anion corrections: -991 meV/atom.

Cell lengths 8.334, 9.222, 8.335 Å; angles 116.88, 120.00, 90.00 degrees
Last column: magnetic moment on the atom in μB.
Sites, in units of the cell vectors:
Se (0.233, 0.705, 0.972)  -0.04
Se (0.264, 0.294, 0.529)  -0.06
Se (0.736, 0.706, 0.471)  -0.06
Se (0.767, 0.295, 0.028)  -0.04
Se (0.739, 0.705, 0.972)  -0.04
Se (0.767, 0.295, 0.534)  -0.04
Se (0.233, 0.705, 0.466)  -0.04
Se (0.261, 0.295, 0.028)  -0.04
Tl (0.000, 0.000, 0.500)  0.01
Tl (0.500, 0.000, 0.500)  0.01
Tl (0.000, 0.000, 0.000)  0.01
Tl (0.500, 0.000, 0.000)  0.02
Er (0.000, 0.500, 0.000)  0.11
U (0.500, 0.500, 0.500)  2.67
U (0.500, 0.500, 0.000)  2.67
U (0.000, 0.500, 0.500)  2.67